#w
Density functional theory data (GGA-PBE) for an optimized crystal structure of NaSr2F.

Lattice parameters (Å, degrees): 8.2944 8.2944 8.2944 90.00 90.00 90.00
Atoms (fractional coordinates):
Na  0.0000  0.0000  0.0000
Na  0.0000  0.5000  0.5000
Na  0.5000  0.0000  0.5000
Na  0.5000  0.5000  0.0000
Sr  0.2500  0.2500  0.2500
Sr  0.2500  0.2500  0.7500
Sr  0.2500  0.7500  0.2500
Sr  0.2500  0.7500  0.7500
Sr  0.7500  0.2500  0.2500
Sr  0.7500  0.2500  0.7500
Sr  0.7500  0.7500  0.2500
Sr  0.7500  0.7500  0.7500
F  0.0000  0.0000  0.5000
F  0.0000  0.5000  0.0000
F  0.5000  0.0000  0.0000
F  0.5000  0.5000  0.5000

Values from the calculation:
Its symmetry is Fm-3m, No. 225. For the theoretical density, the calculation gives 2.5 g/cm³. The calculation puts the total magnetization at 0.000 μB per atom.

#x
Density functional theory data (GGA-PBE) for an optimized crystal structure of NaSr2F.

Lattice parameters (Å, degrees): 4.1377 4.1377 32.6276 90.00 90.00 120.00
Atoms (fractional coordinates):
Na  0.0000  0.0000  0.0000
Na  0.3333  0.6667  0.6667
Na  0.6667  0.3333  0.3333
Sr  0.0000  0.0000  0.2347
Sr  0.0000  0.0000  0.4516
Sr  0.3333  0.6667  0.1183
Sr  0.3333  0.6667  0.9014
Sr  0.6667  0.3333  0.5680
Sr  0.6667  0.3333  0.7849
F  0.0000  0.0000  0.7717
F  0.3333  0.6667  0.4383
F  0.6667  0.3333  0.1050

Values from the calculation:
Its symmetry is R3m, No. 160. For the theoretical density, the calculation gives 2.2 g/cm³. The calculation puts the total magnetization at 0.000 μB per atom.

#x has the most favorable energy; the next structure is 60.0 kJ/mol of atoms above.

#w
Density functional theory data (GGA-PBE) for an optimized crystal structure of NaSr2F.

Lattice parameters (Å, degrees): 7.8673 7.8673 9.8399 90.00 90.00 90.00
Atoms (fractional coordinates):
Na  0.0000  0.0000  0.0000
Na  0.0000  0.5000  0.2500
Na  0.5000  0.0000  0.7500
Na  0.5000  0.5000  0.5000
Sr  0.1202  0.7500  0.6250
Sr  0.2500  0.1202  0.3750
Sr  0.2500  0.3798  0.8750
Sr  0.3798  0.7500  0.1250
Sr  0.6202  0.2500  0.1250
Sr  0.7500  0.6202  0.8750
Sr  0.7500  0.8798  0.3750
Sr  0.8798  0.2500  0.6250
F  0.0000  0.0000  0.5000
F  0.0000  0.5000  0.7500
F  0.5000  0.0000  0.2500
F  0.5000  0.5000  0.0000

Values from the calculation:
Its symmetry is I-42d, No. 122. For the theoretical density, the calculation gives 2.4 g/cm³. The calculation puts the total magnetization at 0.000 μB per atom.

#x
Density functional theory data (GGA-PBE) for an optimized crystal structure of NaSr2F.

Lattice parameters (Å, degrees): 4.0078 4.0078 32.1693 90.00 90.00 120.00
Atoms (fractional coordinates):
Na  0.0000  0.0000  0.0000
Na  0.3333  0.6667  0.6667
Na  0.6667  0.3333  0.3333
Sr  0.0000  0.0000  0.1166
Sr  0.0000  0.0000  0.8834
Sr  0.3333  0.6667  0.5501
Sr  0.3333  0.6667  0.7833
Sr  0.6667  0.3333  0.2167
Sr  0.6667  0.3333  0.4499
F  0.0000  0.0000  0.5000
F  0.3333  0.6667  0.1667
F  0.6667  0.3333  0.8333

Values from the calculation:
Its symmetry is R-3m, No. 166. For the theoretical density, the calculation gives 2.4 g/cm³. The calculation puts the total magnetization at 0.271 μB per atom.

#w has the most favorable energy; the next structure is 21.2 kJ/mol of atoms above.